No. 1
# PBE CeNpTe2N, relaxed
data_CeNpTe2N
_cell_length_a 4.233
_cell_length_b 4.233
_cell_length_c 15.220
_cell_angle_alpha 90.00
_cell_angle_beta 90.00
_cell_angle_gamma 90.00
_symmetry_space_group_name_H-M 'P 1'
_symmetry_Int_Tables_number 1
loop_
_symmetry_equiv_pos_as_xyz
'x,y,z'
loop_
_atom_site_label
_atom_site_type_symbol
_atom_site_fract_x
_atom_site_fract_y
_atom_site_fract_z
Ce1 Ce 0.500 0.000 0.567
Ce2 Ce 0.000 0.500 0.433
Np1 Np 0.500 0.000 0.117
Np2 Np 0.000 0.500 0.883
Te1 Te 0.000 0.500 0.690
Te2 Te 0.000 0.500 0.094
Te3 Te 0.500 0.000 0.906
Te4 Te 0.500 0.000 0.310
N1 N 0.000 0.000 0.500
N2 N 0.500 0.500 0.500
# space-group type: P4/nmm, No. 129
# ΔE_f (raw): -1.01 eV/atom
# crystal system: tetragonal



No. 2
# PBE Sc2NbBr, relaxed
data_Sc2NbBr
_cell_length_a 9.929
_cell_length_b 9.929
_cell_length_c 9.929
_cell_angle_alpha 19.54
_cell_angle_beta 19.54
_cell_angle_gamma 19.54
_symmetry_space_group_name_H-M 'P 1'
_symmetry_Int_Tables_number 1
loop_
_symmetry_equiv_pos_as_xyz
'x,y,z'
loop_
_atom_site_label
_atom_site_type_symbol
_atom_site_fract_x
_atom_site_fract_y
_atom_site_fract_z
Sc1 Sc 0.910 0.910 0.910
Sc2 Sc 0.090 0.090 0.090
Nb1 Nb 0.500 0.500 0.500
Br1 Br 0.000 0.000 0.000
# space-group type: R-3m, No. 166
# ΔE_f (raw): -0.13 eV/atom
# crystal system: trigonal



No. 3
# PBE K3Rb4Pd, relaxed
data_K3Rb4Pd
_cell_length_a 8.956
_cell_length_b 8.627
_cell_length_c 13.991
_cell_angle_alpha 90.00
_cell_angle_beta 90.00
_cell_angle_gamma 90.00
_symmetry_space_group_name_H-M 'P 1'
_symmetry_Int_Tables_number 1
loop_
_symmetry_equiv_pos_as_xyz
'x,y,z'
loop_
_atom_site_label
_atom_site_type_symbol
_atom_site_fract_x
_atom_site_fract_y
_atom_site_fract_z
K1 K 0.494 0.000 0.000
K2 K 0.506 0.500 0.500
K3 K 0.816 0.500 0.769
K4 K 0.816 0.500 0.231
K5 K 0.184 0.000 0.731
K6 K 0.184 0.000 0.269
Pd1 Pd 0.673 0.500 0.000
Pd2 Pd 0.327 0.000 0.500
Rb1 Rb 0.375 0.500 0.841
Rb2 Rb 0.375 0.500 0.159
Rb3 Rb 0.943 0.238 0.000
Rb4 Rb 0.943 0.762 0.000
Rb5 Rb 0.057 0.738 0.500
Rb6 Rb 0.057 0.262 0.500
Rb7 Rb 0.625 0.000 0.341
Rb8 Rb 0.625 0.000 0.659
# space-group type: Pmmn, No. 59
# DFT formation energy: 87 meV per atom
# crystal system: orthorhombic